(1)
TbCeHg | PBE-GGA | relaxed

Crystal system: hexagonal
Size of the total moment, μB per cell: 4.0
VASP energy, eV/atom: -3.83
Relative energy among the computed polymorphs, eV/atom: 0.038

Cell lengths 5.4087, 5.4087, 6.5591 Å; angles 90.00, 90.00, 120.00 degrees
Space group P6_3/mmc (No. 194)
Asymmetric unit:
Tb  0.3333  0.6667  0.2500
Ce  0.0000  0.0000  0.0000
Hg  0.3333  0.6667  0.7500



(2)
Y6As2S3 | PBE-GGA | relaxed

Crystal system: trigonal
Size of the total moment, μB per cell: 0.0
Formation energy without anion corrections, eV per atom: -1.575
VASP energy, eV/atom: -7.07

Cell lengths 6.7427, 6.7427, 6.7706 Å; angles 90.00, 90.00, 120.00 degrees
Space group P-31m (No. 162)
Asymmetric unit:
Y  0.0000  0.3311  0.2471
As  0.3333  0.6667  0.5000
S  0.0000  0.0000  0.5000
S  0.3333  0.6667  0.0000



(3)
DyY4Mg3 | PBE-GGA | relaxed

Crystal system: orthorhombic
Size of the total moment, μB per cell: 0.0
VASP energy, eV/atom: -4.43

Cell lengths 3.825, 5.445, 11.024 Å; angles 90.00, 90.00, 90.00 degrees
Space group Pmmm (No. 47)
Asymmetric unit:
Dy  0.000  0.000  0.000
Y  0.500  0.000  0.262
Y  0.500  0.500  0.000
Y  0.500  0.500  0.500
Mg  0.000  0.000  0.500
Mg  0.000  0.500  0.251



(4)
PmPr6Dy4 | PBE-GGA | relaxed

Crystal system: tetragonal
Size of the total moment, μB per cell: 0.0
VASP energy, eV/atom: -4.43
Relative energy among the computed polymorphs, eV/atom: 0.141

Cell lengths 6.620, 6.620, 17.756 Å; angles 90.00, 90.00, 90.00 degrees
Space group I-42m (No. 121)
Asymmetric unit:
Pm  0.000  0.000  0.000
Pr  0.000  0.500  0.000
Pr  0.179  0.179  0.637
Dy  0.185  0.185  0.824



(5)
Li2Ga5Tc | PBE-GGA | relaxed

Crystal system: tetragonal
Size of the total moment, μB per cell: 0.0
VASP energy, eV/atom: -3.87

Cell lengths 6.058, 6.058, 6.643 Å; angles 90.00, 90.00, 90.00 degrees
Space group I4mm (No. 107)
Asymmetric unit:
Li  0.000  0.500  0.000
Ga  0.000  0.000  0.052
Ga  0.219  0.219  0.757
Tc  0.000  0.000  0.435



(6)
CrBSCl2 | PBE-GGA | relaxed

Crystal system: tetragonal
Size of the total moment, μB per cell: 4.3
Formation energy without anion corrections, eV per atom: 0.467
VASP energy, eV/atom: -4.36
Relative energy among the computed polymorphs, eV/atom: 0.000

Cell lengths 4.222, 4.222, 4.609 Å; angles 90.00, 90.00, 90.00 degrees
Space group P4/mmm (No. 123)
Asymmetric unit:
Cr  0.000  0.000  0.000
B  0.500  0.500  0.500
S  0.500  0.500  0.000
Cl  0.000  0.500  0.500



(7)
Ga2SiOs2 | PBE-GGA | relaxed

Crystal system: tetragonal
Size of the total moment, μB per cell: 0.0
Formation energy without anion corrections, eV per atom: 0.007
VASP energy, eV/atom: -6.78

Cell lengths 6.277, 6.277, 3.910 Å; angles 90.00, 90.00, 90.00 degrees
Space group P4/mbm (No. 127)
Asymmetric unit:
Ga  0.155  0.345  0.000
Si  0.000  0.000  0.500
Os  0.152  0.652  0.500



(8)
LiPr3Er2Se6 | PBE-GGA | relaxed

Crystal system: monoclinic
Size of the total moment, μB per cell: 0.0
Formation energy without anion corrections, eV per atom: -1.768
VASP energy, eV/atom: -5.63

Cell lengths 7.095, 12.315, 7.283 Å; angles 90.00, 109.06, 90.00 degrees
Space group C2/m (No. 12)
Asymmetric unit:
Li  0.000  0.000  0.000
Pr  0.000  0.166  0.500
Pr  0.000  0.500  0.500
Er  0.000  0.335  0.000
Se  0.240  0.164  0.228
Se  0.249  0.500  0.225